# 1
The following is a DFT calculation (PBE-GGA) of a relaxed structure of KCaScI6.

```
18
Lattice="7.856 0.000 0.000 -3.928 6.804 0.000 0.000 0.000 15.388" Properties=species:S:1:pos:R:3 pbc="T T T"
K 0.000 0.000 0.000
K 0.000 0.000 7.694
Ca 0.000 4.536 3.847
Ca 3.928 2.268 11.541
Sc 0.000 4.536 11.541
Sc 3.928 2.268 3.847
I -1.315 2.576 9.828
I -2.355 4.377 13.254
I 1.315 2.576 13.254
I -1.040 6.654 9.828
I 2.889 0.149 2.134
I 1.574 2.427 5.560
I 2.355 4.377 9.828
I 1.040 6.654 13.254
I 4.968 0.149 5.560
I 2.613 4.227 2.134
I 6.283 2.427 2.134
I 5.243 4.227 5.560
```

## Properties
- Total magnetic moment: 0.0 μB/cell
- Formation energy without anion corrections: -1.41 eV/atom
- Total energy: -3.493 eV/atom
- Density of states at the Fermi level: 0.00 states/eV per cell
- Calculated volume: 45.7 A^3/atom
- Space-group type: No. 163

***

# 2
The following is a DFT calculation (PBE-GGA) of a relaxed structure of KCaSeI.

```
12
Lattice="4.450 0.000 0.000 -2.225 3.854 0.000 0.000 0.000 24.480" Properties=species:S:1:pos:R:3 pbc="T T T"
K 0.000 0.000 0.000
K 0.000 2.569 16.320
K 2.225 1.285 8.160
Ca 0.000 0.000 19.737
Ca 0.000 2.569 11.576
Ca 2.225 1.285 3.416
Se 0.000 0.000 10.224
Se 0.000 2.569 2.063
Se 2.225 1.285 18.384
I 0.000 0.000 5.556
I 0.000 2.569 21.876
I 2.225 1.285 13.716
```

## Properties
- Total magnetic moment: 0.0 μB/cell
- Formation energy without anion corrections: -1.62 eV/atom
- Total energy: -3.655 eV/atom
- Density of states at the Fermi level: 0.00 states/eV per cell
- Calculated volume: 35.0 A^3/atom
- Space-group type: No. 160

***

# 3
The following is a DFT calculation (PBE-GGA) of a relaxed structure of KCaTbI6.

```
18
Lattice="8.002 0.000 0.000 -4.001 6.930 0.000 0.000 0.000 15.520" Properties=species:S:1:pos:R:3 pbc="T T T"
K 0.000 0.000 0.000
K 0.000 0.000 7.760
Ca 0.000 4.620 3.880
Ca 4.001 2.310 11.640
Tb 0.000 4.620 11.640
Tb 4.001 2.310 3.880
I -1.414 2.570 9.861
I -2.483 4.421 13.420
I 1.414 2.570 13.420
I -1.069 6.870 9.861
I 2.933 0.060 2.101
I 1.518 2.509 5.659
I 2.483 4.421 9.861
I 1.069 6.870 13.420
I 5.070 0.060 5.659
I 2.587 4.360 2.101
I 6.484 2.509 2.101
I 5.415 4.360 5.659
```

## Properties
- Total magnetic moment: 0.0 μB/cell
- Formation energy without anion corrections: -1.50 eV/atom
- Total energy: -3.388 eV/atom
- Density of states at the Fermi level: 0.00 states/eV per cell
- Calculated volume: 47.8 A^3/atom
- Space-group type: No. 163

***

# 4
The following is a DFT calculation (PBE-GGA) of a relaxed structure of KCaTeI.

```
12
Lattice="4.678 0.000 0.000 -2.339 4.051 0.000 0.000 0.000 25.045" Properties=species:S:1:pos:R:3 pbc="T T T"
K 0.000 0.000 0.000
K 0.000 2.701 16.697
K 2.339 1.350 8.348
Ca 0.000 0.000 4.644
Ca 0.000 2.701 21.340
Ca 2.339 1.350 12.992
Te 0.000 0.000 14.505
Te 0.000 2.701 6.157
Te 2.339 1.350 22.854
I 0.000 0.000 19.274
I 0.000 2.701 10.926
I 2.339 1.350 2.578
```

## Properties
- Total magnetic moment: 0.0 μB/cell
- Formation energy without anion corrections: -1.46 eV/atom
- Total energy: -3.406 eV/atom
- Density of states at the Fermi level: 0.00 states/eV per cell
- Calculated volume: 39.6 A^3/atom
- Space-group type: No. 160

***

# 5
The following is a DFT calculation (PBE-GGA) of a relaxed structure of KCaTlI4.

```
14
Lattice="6.139 0.000 0.000 0.000 6.139 0.000 0.000 0.000 17.702" Properties=species:S:1:pos:R:3 pbc="T T T"
K 0.000 0.000 0.000
K 3.070 3.070 8.851
Ca 0.000 0.000 6.470
Ca 3.070 3.070 15.322
Tl 0.000 0.000 12.881
Tl 3.070 3.070 4.030
I 0.000 0.000 3.417
I 0.000 0.000 9.608
I 0.000 3.070 6.540
I 0.000 3.070 15.391
I 3.070 0.000 6.540
I 3.070 0.000 15.391
I 3.070 3.070 0.756
I 3.070 3.070 12.268
```

## Properties
- Total magnetic moment: 0.0 μB/cell
- Formation energy without anion corrections: -1.23 eV/atom
- Total energy: -2.901 eV/atom
- Density of states at the Fermi level: 0.00 states/eV per cell
- Calculated volume: 47.7 A^3/atom
- Space-group type: No. 107

***

# 6
The following is a DFT calculation (PBE-GGA) of a relaxed structure of K2CaTlI5.

```
9
Lattice="5.965 0.000 0.000 0.000 5.965 0.000 0.000 0.000 12.875" Properties=species:S:1:pos:R:3 pbc="T T T"
K 0.000 0.000 2.844
K 0.000 0.000 10.031
Ca 2.983 2.983 0.000
Tl 2.983 2.983 6.438
I 0.000 0.000 6.438
I 0.000 2.983 0.000
I 2.983 0.000 0.000
I 2.983 2.983 3.130
I 2.983 2.983 9.745
```

## Properties
- Total magnetic moment: 0.0 μB/cell
- Formation energy without anion corrections: -1.25 eV/atom
- Total energy: -2.839 eV/atom
- Density of states at the Fermi level: 0.00 states/eV per cell
- Calculated volume: 50.9 A^3/atom
- Space-group type: No. 123